Record 1
BeAl2Hg | SCAN | single point on PBEsol structure

Calculated values
Energy of formation in eV/atom: 0.281

```
data_BeAl2Hg
_space_group_name_H-M_alt 'C 1 2/m 1'
_space_group_IT_number 12
_space_group_name_Hall '-C 2y'
_cell_length_a 5.0823
_cell_length_b 9.9328
_cell_length_c 3.0058
_cell_angle_alpha 90.00
_cell_angle_beta 118.87
_cell_angle_gamma 90.00
loop_
_atom_site_label
_atom_site_type_symbol
_atom_site_fract_x
_atom_site_fract_y
_atom_site_fract_z
Be1 Be 0.0000 0.0000 0.0000
Al1 Al 0.2500 0.2500 0.0000
Hg1 Hg 0.0000 0.5000 0.0000
```

***

Record 2
TcMo2Ir | SCAN | single point on PBEsol structure

Calculated values
Energy of formation in eV/atom: -0.060

```
data_TcMo2Ir
_space_group_name_H-M_alt 'C 1 m 1'
_space_group_IT_number 8
_space_group_name_Hall 'C -2y'
_cell_length_a 9.1349
_cell_length_b 2.7208
_cell_length_c 4.7836
_cell_angle_alpha 90.00
_cell_angle_beta 99.10
_cell_angle_gamma 90.00
loop_
_atom_site_label
_atom_site_type_symbol
_atom_site_fract_x
_atom_site_fract_y
_atom_site_fract_z
Tc1 Tc 0.0000 0.0000 0.0000
Mo1 Mo 0.0151 0.5000 0.5153
Mo2 Mo 0.2554 0.5000 0.2448
Ir1 Ir 0.2610 0.0000 0.7539
```

***

Record 3
Al2CrBO | SCAN | single point on PBEsol structure

Calculated values
ΔE_f (raw) in eV/atom: 1.0360

```
data_Al2CrBO
_space_group_name_H-M_alt 'P 4/m m m'
_space_group_IT_number 123
_space_group_name_Hall '-P 4 2'
_cell_length_a 4.6825
_cell_length_b 4.6825
_cell_length_c 3.7172
_cell_angle_alpha 90.00
_cell_angle_beta 90.00
_cell_angle_gamma 90.00
loop_
_atom_site_label
_atom_site_type_symbol
_atom_site_fract_x
_atom_site_fract_y
_atom_site_fract_z
Al1 Al 0.0000 0.5000 0.0000
Cr1 Cr 0.0000 0.0000 0.0000
B1 B 0.0000 0.0000 0.5000
O1 O 0.5000 0.5000 0.5000
```

***

Record 4
HfMnSi | SCAN | single point on PBEsol structure

Calculated values
ΔE_f (raw) in eV/atom: -0.7285

```
data_HfMnSi
_space_group_name_H-M_alt 'P n m a'
_space_group_IT_number 62
_space_group_name_Hall '-P 2ac 2n'
_cell_length_a 6.4412
_cell_length_b 3.6219
_cell_length_c 7.4946
_cell_angle_alpha 90.00
_cell_angle_beta 90.00
_cell_angle_gamma 90.00
loop_
_atom_site_label
_atom_site_type_symbol
_atom_site_fract_x
_atom_site_fract_y
_atom_site_fract_z
Hf1 Hf 0.0266 0.2500 0.1797
Mn1 Mn 0.1426 0.2500 0.5658
Si1 Si 0.2251 0.7500 0.3779
```

***

Record 5
AlIn2Sb | SCAN | single point on PBEsol structure

Calculated values
ΔE_f (raw) in eV/atom: 0.2007

```
data_AlIn2Sb
_space_group_name_H-M_alt 'R -3 m'
_space_group_IT_number 166
_space_group_name_Hall '-R 3 2"'
_cell_length_a 3.2487
_cell_length_b 3.2487
_cell_length_c 31.1323
_cell_angle_alpha 90.00
_cell_angle_beta 90.00
_cell_angle_gamma 120.00
loop_
_atom_site_label
_atom_site_type_symbol
_atom_site_fract_x
_atom_site_fract_y
_atom_site_fract_z
Al1 Al 0.0000 0.0000 0.0000
In1 In 0.0000 0.0000 0.2558
Sb1 Sb 0.0000 0.0000 0.5000
```

***

Record 6
MgTe2BrN | SCAN | single point on PBEsol structure

Calculated values
ΔE_f (raw) in eV/atom: 0.6313

```
data_MgTe2BrN
_space_group_name_H-M_alt 'P 4/m m m'
_space_group_IT_number 123
_space_group_name_Hall '-P 4 2'
_cell_length_a 5.6390
_cell_length_b 5.6390
_cell_length_c 3.8407
_cell_angle_alpha 90.00
_cell_angle_beta 90.00
_cell_angle_gamma 90.00
loop_
_atom_site_label
_atom_site_type_symbol
_atom_site_fract_x
_atom_site_fract_y
_atom_site_fract_z
Mg1 Mg 0.0000 0.0000 0.0000
Te1 Te 0.0000 0.5000 0.0000
Br1 Br 0.5000 0.5000 0.5000
N1 N 0.0000 0.0000 0.5000
```

***

Record 7
KLa2Re | SCAN | single point on PBEsol structure

Calculated values
Energy of formation in eV/atom: 0.974

```
data_KLa2Re
_space_group_name_H-M_alt 'I -4 m 2'
_space_group_IT_number 119
_space_group_name_Hall 'I -4 -2'
_cell_length_a 4.4654
_cell_length_b 4.4654
_cell_length_c 10.1299
_cell_angle_alpha 90.00
_cell_angle_beta 90.00
_cell_angle_gamma 90.00
loop_
_atom_site_label
_atom_site_type_symbol
_atom_site_fract_x
_atom_site_fract_y
_atom_site_fract_z
K1 K 0.0000 0.0000 0.0000
La1 La 0.0000 0.0000 0.5000
La2 La 0.0000 0.5000 0.2500
Re1 Re 0.0000 0.5000 0.7500
```

***

Record 8
TiBi2Pt | SCAN | single point on PBEsol structure

Calculated values
Energy of formation in eV/atom: 0.145

```
data_TiBi2Pt
_space_group_name_H-M_alt 'F m -3 m'
_space_group_IT_number 225
_space_group_name_Hall '-F 4 2 3'
_cell_length_a 6.9554
_cell_length_b 6.9554
_cell_length_c 6.9554
_cell_angle_alpha 90.00
_cell_angle_beta 90.00
_cell_angle_gamma 90.00
loop_
_atom_site_label
_atom_site_type_symbol
_atom_site_fract_x
_atom_site_fract_y
_atom_site_fract_z
Ti1 Ti 0.0000 0.0000 0.0000
Bi1 Bi 0.2500 0.2500 0.2500
Pt1 Pt 0.0000 0.0000 0.5000
```